Here is a relaxed La5PrSm2Mg crystal from Alexandria via LeMat-Bulk. Energies are from PBE.

Computed properties:
E_form in eV/atom: 0.079
VASP energy in eV for the cell shown: -158.954
N(E_F) in states/eV/atom: 1.565

The structure in CIF format:
```
data_La5PrSm2Mg
_chemical_formula_sum 'La20 Pr4 Sm8 Mg4'
_cell_length_a 5.691
_cell_length_b 20.279
_cell_length_c 11.102
_cell_angle_alpha 90.00
_cell_angle_beta 90.00
_cell_angle_gamma 90.00
_symmetry_space_group_name_H-M 'C m c 21'
_symmetry_Int_Tables_number 36
loop_
_symmetry_equiv_pos_as_xyz
'x,y,z'
'-x,-y,z+1/2'
'-x,y,z'
'x,-y,z+1/2'
'x+1/2,y+1/2,z'
'-x+1/2,-y+1/2,z+1/2'
'-x+1/2,y+1/2,z'
'x+1/2,-y+1/2,z+1/2'
loop_
_atom_site_label
_atom_site_type_symbol
_atom_site_fract_x
_atom_site_fract_y
_atom_site_fract_z
_atom_site_occupancy
La1 La 0.000 0.000 0.000 1
La2 La 0.000 0.121 0.251 1
La3 La 0.000 0.212 0.953 1
La4 La 0.000 0.214 0.551 1
La5 La 0.000 0.490 0.251 1
Pr1 Pr 0.000 0.307 0.252 1
Sm1 Sm 0.000 0.385 0.964 1
Sm2 Sm 0.000 0.386 0.539 1
Mg1 Mg 0.000 0.094 0.749 1
```